Record 1
! GGA-PBE Ag3SeS4, relaxed; values from VASP
&SYSTEM
  ibrav = 0, nat = 16, ntyp = 3
/
ATOMIC_SPECIES
S 32.06 S.upf
Se 78.96 Se.upf
Ag 107.87 Ag.upf
ATOMIC_POSITIONS angstrom
S 5.828 0.000 0.911
S 2.257 0.000 5.664
S 5.861 6.214 4.653
S 2.549 6.228 2.290
S 5.569 4.147 1.279
S 2.516 4.147 6.032
S 2.549 2.067 2.290
S 5.861 2.080 4.653
Se 6.588 0.000 5.692
Se 3.276 4.147 1.251
Ag 3.256 0.000 1.093
Ag 0.030 6.256 2.238
Ag 3.343 6.186 4.705
Ag 6.569 4.147 5.850
Ag 3.343 2.109 4.705
Ag 0.030 2.038 2.238
CELL_PARAMETERS angstrom
6.625 0.000 0.000
0.000 8.294 0.000
0.000 0.000 6.943
! volume: 382 Å³ per cell
! D(E_F): 7.8 states/eV/cell
! ΔE_f (raw): 0.14 eV/atom

Record 2
! GGA-PBE Ag12SeS6, relaxed; values from VASP
&SYSTEM
  ibrav = 0, nat = 19, ntyp = 3
/
ATOMIC_SPECIES
Ag 107.87 Ag.upf
Se 78.96 Se.upf
S 32.06 S.upf
ATOMIC_POSITIONS angstrom
Ag 4.343 0.852 3.711
Ag 4.668 3.599 5.068
Ag 2.329 3.000 6.783
Ag 1.763 -0.144 2.354
Ag 1.763 2.270 0.640
Ag -0.577 1.672 2.354
Ag -0.251 2.048 5.395
Ag 2.046 5.006 2.028
Ag -0.251 4.418 3.711
Ag 4.343 3.223 2.028
Ag 2.046 0.265 5.395
Ag 2.329 5.415 5.068
Se 0.000 0.000 0.000
S 3.836 0.932 1.312
S -0.048 -0.062 4.159
S -0.048 3.947 1.312
S 4.140 5.333 3.264
S 0.256 4.339 6.111
S 4.140 1.324 6.111
CELL_PARAMETERS angstrom
7.553 0.146 0.206
-1.731 7.353 0.206
-1.731 -2.229 7.011
! volume: 398 Å³ per cell
! D(E_F): 10.3 states/eV/cell
! ΔE_f (raw): 0.08 eV/atom

Record 3
! GGA-PBE AgSe3S, relaxed; values from VASP
&SYSTEM
  ibrav = 0, nat = 5, ntyp = 3
/
ATOMIC_SPECIES
S 32.06 S.upf
Se 78.96 Se.upf
Ag 107.87 Ag.upf
ATOMIC_POSITIONS angstrom
S 2.514 2.514 2.514
Se 0.000 2.514 0.000
Se 0.000 0.000 2.514
Se 2.514 0.000 0.000
Ag 0.000 0.000 0.000
CELL_PARAMETERS angstrom
5.029 0.000 0.000
0.000 5.029 0.000
0.000 0.000 5.029
! volume: 127 Å³ per cell
! D(E_F): 7.5 states/eV/cell
! excess energy over the best structure of this formula in the dataset: 0.457 eV per atom
! ΔE_f (raw): 1.04 eV/atom

Record 4
! GGA-PBE Ag2SeS, relaxed; values from VASP
&SYSTEM
  ibrav = 0, nat = 4, ntyp = 3
/
ATOMIC_SPECIES
S 32.06 S.upf
Se 78.96 Se.upf
Ag 107.87 Ag.upf
ATOMIC_POSITIONS angstrom
S 0.000 0.000 0.000
Se 3.361 3.361 3.361
Ag 1.680 1.680 1.680
Ag 5.041 5.041 5.041
CELL_PARAMETERS angstrom
0.000 3.361 3.361
3.361 0.000 3.361
3.361 3.361 0.000
! volume: 76 Å³ per cell
! D(E_F): 3.8 states/eV/cell
! excess energy over the best structure of this formula in the dataset: 0.260 eV per atom
! ΔE_f (raw): 0.31 eV/atom

Record 5
! GGA-PBE Ag2SeS, relaxed; values from VASP
&SYSTEM
  ibrav = 0, nat = 4, ntyp = 3
/
ATOMIC_SPECIES
Ag 107.87 Ag.upf
Se 78.96 Se.upf
S 32.06 S.upf
ATOMIC_POSITIONS angstrom
Ag -2.666 -4.273 1.323
Ag -0.476 -2.725 -0.114
Se -2.386 -8.852 0.286
S -0.894 -5.409 -0.267
CELL_PARAMETERS angstrom
-0.071 -2.544 -2.847
2.260 -3.076 0.131
-3.882 -5.132 2.121
! volume: 81 Å³ per cell
! D(E_F): 1.9 states/eV/cell
! excess energy over the best structure of this formula in the dataset: 0.061 eV per atom
! ΔE_f (raw): 0.12 eV/atom

Record 6
! GGA-PBE Ag2SeS, relaxed; values from VASP
&SYSTEM
  ibrav = 0, nat = 8, ntyp = 3
/
ATOMIC_SPECIES
S 32.06 S.upf
Se 78.96 Se.upf
Ag 107.87 Ag.upf
ATOMIC_POSITIONS angstrom
S 1.250 -1.511 -3.619
S 0.635 -5.495 -4.509
Se 0.000 0.000 0.000
Se -1.533 -2.595 -6.469
Ag -0.978 -0.977 -4.522
Ag 1.154 -3.823 -2.777
Ag -1.546 -5.018 -5.551
Ag -0.427 -6.360 -9.107
CELL_PARAMETERS angstrom
-0.917 1.388 -5.579
3.417 -4.411 -1.660
-3.398 -5.067 -3.740
! volume: 198 Å³ per cell
! D(E_F): 7.2 states/eV/cell
! excess energy over the best structure of this formula in the dataset: 0.077 eV per atom
! ΔE_f (raw): 0.13 eV/atom

Record 7
! GGA-PBE Ag5SeS, relaxed; values from VASP
&SYSTEM
  ibrav = 0, nat = 7, ntyp = 3
/
ATOMIC_SPECIES
Ag 107.87 Ag.upf
Se 78.96 Se.upf
S 32.06 S.upf
ATOMIC_POSITIONS angstrom
Ag 4.852 2.197 5.163
Ag 4.852 5.473 1.239
Ag 4.852 1.951 1.628
Ag 4.852 5.719 4.773
Ag 2.426 3.835 3.201
Se 0.000 0.000 0.000
S 4.852 3.835 3.201
CELL_PARAMETERS angstrom
4.852 0.000 0.000
2.426 6.363 0.172
2.426 1.307 6.230
! volume: 191 Å³ per cell
! D(E_F): 1.7 states/eV/cell
! excess energy over the best structure of this formula in the dataset: 0.132 eV per atom
! ΔE_f (raw): 0.22 eV/atom

Record 8
! GGA-PBE Ag9Se3S2, relaxed; values from VASP
&SYSTEM
  ibrav = 0, nat = 28, ntyp = 3
/
ATOMIC_SPECIES
Ag 107.87 Ag.upf
Se 78.96 Se.upf
S 32.06 S.upf
ATOMIC_POSITIONS angstrom
Ag 5.744 1.944 5.240
Ag 0.284 3.182 5.168
Ag -0.848 6.015 0.118
Ag 9.418 5.175 -2.655
Ag 7.868 6.006 1.605
Ag 1.833 2.352 0.908
Ag 4.611 3.886 -1.135
Ag 4.341 6.346 0.306
Ag 5.090 4.472 3.648
Ag 5.360 2.011 2.208
Ag 0.080 4.325 2.408
Ag 6.641 6.148 -1.448
Ag 7.760 3.346 3.546
Ag 3.061 2.210 3.962
Ag 1.941 5.011 -1.033
Ag 3.958 6.413 -2.727
Ag 9.621 4.033 0.105
Ag 10.550 2.342 2.396
Se 4.065 1.588 -0.020
Se 5.636 6.770 2.534
Se 7.981 1.925 1.339
Se 2.393 4.749 4.175
Se 1.721 6.433 1.175
Se 7.308 3.608 -1.662
S -0.175 3.523 -0.172
S 9.159 6.633 -0.520
S 9.877 4.835 2.685
S 0.543 1.725 3.033
CELL_PARAMETERS angstrom
12.215 1.372 -1.968
-2.479 6.552 -3.213
-0.034 0.434 7.694
! volume: 661 Å³ per cell
! D(E_F): 11.4 states/eV/cell
! ΔE_f (raw): 0.05 eV/atom